Record 1
This record from Alexandria via LeMat-Bulk describes crystalline Ac6Ge2Pb at its relaxed geometry. The functional is PBE-GGA.

Results
Space-group type: No. 71
N(E_F), states/eV/atom: 0.98
E, eV/atom: -4.647
E_form, meV per atom: -470
Offset from the most stable computed form, eV per atom: 0.000

Cell lengths 9.487, 9.487, 9.487 Å; angles 111.66, 109.70, 107.09 degrees
Fractional positions:
Ac1 0.037 0.242 0.795
Ac2 0.182 0.276 0.458
Ac3 0.182 0.724 0.906
Ac4 0.323 0.028 0.706
Ac5 0.323 0.617 0.294
Ac6 0.447 0.242 0.205
Ac7 0.553 0.758 0.795
Ac8 0.677 0.383 0.706
Ac9 0.677 0.972 0.294
Ac10 0.818 0.276 0.094
Ac11 0.818 0.724 0.542
Ac12 0.963 0.758 0.205
Ge1 0.114 0.614 0.500
Ge2 0.372 0.000 0.372
Ge3 0.628 0.000 0.628
Ge4 0.886 0.386 0.500
Pb1 0.000 0.000 0.000
Pb2 0.500 0.500 0.000

=====

Record 2
This record from Alexandria via LeMat-Bulk describes crystalline Li2As2Pd5Au at its relaxed geometry. The functional is PBE-GGA.

Results
Space-group type: No. 127
N(E_F), states/eV/atom: 0.56
E, eV/atom: -4.653
E_form, meV per atom: -416

Cell lengths 9.374, 9.374, 3.766 Å; angles 90.00, 90.00, 90.00 degrees
Fractional positions:
Li1 0.168 0.332 0.000
Li2 0.332 0.832 0.000
Li3 0.668 0.168 0.000
Li4 0.832 0.668 0.000
As1 0.134 0.634 0.000
As2 0.366 0.134 0.000
As3 0.634 0.866 0.000
As4 0.866 0.366 0.000
Pd1 0.000 0.500 0.500
Pd2 0.074 0.797 0.500
Pd3 0.203 0.074 0.500
Pd4 0.297 0.574 0.500
Pd5 0.426 0.297 0.500
Pd6 0.500 0.000 0.500
Pd7 0.574 0.703 0.500
Pd8 0.703 0.426 0.500
Pd9 0.797 0.926 0.500
Pd10 0.926 0.203 0.500
Au1 0.000 0.000 0.000
Au2 0.500 0.500 0.000

=====

Record 3
This record from Alexandria via LeMat-Bulk describes crystalline Sc2Ag4Pd3 at its relaxed geometry. The functional is PBE-GGA.

Results
Space-group type: No. 12
N(E_F), states/eV/atom: 0.57
E, eV/atom: -4.852
E_form, meV per atom: -447

Cell lengths 5.214, 5.214, 8.707 Å; angles 111.40, 111.40, 46.12 degrees
Fractional positions:
Sc1 0.169 0.169 0.235
Sc2 0.831 0.831 0.765
Ag1 0.166 0.166 0.891
Ag2 0.499 0.499 0.664
Ag3 0.501 0.501 0.336
Ag4 0.834 0.834 0.109
Pd1 0.169 0.169 0.559
Pd2 0.500 0.500 0.000
Pd3 0.831 0.831 0.441

=====

Record 4
This record from Alexandria via LeMat-Bulk describes crystalline AcNd8Tm4 at its relaxed geometry. The functional is PBE-GGA.

Results
Space-group type: No. 166
N(E_F), states/eV/atom: 1.06
E, eV/atom: -4.387
E_form, meV per atom: 239

Cell lengths 10.703, 10.703, 10.703 Å; angles 40.06, 40.06, 40.06 degrees
Fractional positions:
Ac1 0.000 0.000 0.000
Nd1 0.257 0.257 0.705
Nd2 0.257 0.705 0.257
Nd3 0.287 0.287 0.287
Nd4 0.295 0.743 0.743
Nd5 0.705 0.257 0.257
Nd6 0.713 0.713 0.713
Nd7 0.743 0.295 0.743
Nd8 0.743 0.743 0.295
Tm1 0.000 0.000 0.500
Tm2 0.000 0.500 0.000
Tm3 0.500 0.000 0.000
Tm4 0.500 0.500 0.500

=====

Record 5
This record from Alexandria via LeMat-Bulk describes crystalline Li2HfGe at its relaxed geometry. The functional is PBE-GGA.

Results
Space-group type: No. 122
N(E_F), states/eV/atom: 0.57
E, eV/atom: -4.676
E_form, meV per atom: -77

Cell lengths 10.756, 10.756, 10.756 Å; angles 159.57, 159.57, 29.05 degrees
Fractional positions:
Li1 0.098 0.625 0.973
Li2 0.375 0.348 0.473
Li3 0.652 0.125 0.027
Li4 0.875 0.902 0.527
Hf1 0.250 0.750 0.500
Hf2 0.500 0.500 0.000
Ge1 0.000 0.000 0.000
Ge2 0.750 0.250 0.500

=====

Record 6
This record from Alexandria via LeMat-Bulk describes crystalline SiNiAsBr2 at its relaxed geometry. The functional is PBE-GGA.

Results
Space-group type: No. 123
N(E_F), states/eV/atom: 0.72
E, eV/atom: -3.323
Uncorrected formation energy, eV/atom: 0.517
Offset from the most stable computed form, eV per atom: 0.000

Cell lengths 4.823, 4.823, 4.767 Å; angles 90.00, 90.00, 90.00 degrees
Fractional positions:
Si1 0.000 0.000 0.000
Ni1 0.500 0.500 0.500
As1 0.500 0.500 0.000
Br1 0.000 0.500 0.500
Br2 0.500 0.000 0.500

=====

Record 7
This record from Alexandria via LeMat-Bulk describes crystalline CsMgTlSb at its relaxed geometry. The functional is PBE-GGA.

Results
Space-group type: No. 129
N(E_F), states/eV/atom: 0.58
E, eV/atom: -2.575
Uncorrected formation energy, eV/atom: -0.340

Cell lengths 4.661, 4.661, 15.478 Å; angles 90.00, 90.00, 90.00 degrees
Fractional positions:
Cs1 0.250 0.250 0.241
Cs2 0.750 0.750 0.759
Mg1 0.250 0.750 0.000
Mg2 0.750 0.250 0.000
Tl1 0.250 0.750 0.500
Tl2 0.750 0.250 0.500
Sb1 0.250 0.250 0.887
Sb2 0.750 0.750 0.113

=====

Record 8
This record from Alexandria via LeMat-Bulk describes crystalline Pr3Y12Cd at its relaxed geometry. The functional is PBE-GGA.

Results
Space-group type: No. 123
N(E_F), states/eV/atom: 1.39
E, eV/atom: -5.802
E_form, meV per atom: -1

Cell lengths 5.037, 5.037, 20.360 Å; angles 90.00, 90.00, 90.00 degrees
Fractional positions:
Pr1 0.000 0.000 0.000
Pr2 0.000 0.000 0.253
Pr3 0.000 0.000 0.747
Y1 0.000 0.500 0.127
Y2 0.000 0.500 0.381
Y3 0.000 0.500 0.619
Y4 0.000 0.500 0.873
Y5 0.500 0.000 0.127
Y6 0.500 0.000 0.381
Y7 0.500 0.000 0.619
Y8 0.500 0.000 0.873
Y9 0.500 0.500 0.000
Y10 0.500 0.500 0.258
Y11 0.500 0.500 0.500
Y12 0.500 0.500 0.742
Cd1 0.000 0.000 0.500

=====

Record 9
This record from Alexandria via LeMat-Bulk describes crystalline Tb4Tm5Pu at its relaxed geometry. The functional is PBE-GGA.

Results
Space-group type: No. 12
N(E_F), states/eV/atom: 1.82
E, eV/atom: -5.456
E_form, meV per atom: 65
Offset from the most stable computed form, eV per atom: 0.000

Cell lengths 8.476, 8.476, 11.210 Å; angles 108.66, 108.66, 23.69 degrees
Fractional positions:
Tb1 0.086 0.086 0.293
Tb2 0.394 0.394 0.201
Tb3 0.606 0.606 0.799
Tb4 0.914 0.914 0.707
Tm1 0.189 0.189 0.079
Tm2 0.210 0.210 0.616
Tm3 0.500 0.500 0.500
Tm4 0.790 0.790 0.384
Tm5 0.811 0.811 0.921
Pu1 0.500 0.500 0.000

=====

Record 10
This record from Alexandria via LeMat-Bulk describes crystalline ZnP2Pb2 at its relaxed geometry. The functional is PBE-GGA.

Results
Space-group type: No. 127
N(E_F), states/eV/atom: 0.84
E, eV/atom: -3.611
E_form, meV per atom: 291

Cell lengths 7.316, 7.316, 4.384 Å; angles 90.00, 90.00, 90.00 degrees
Fractional positions:
Zn1 0.000 0.000 0.000
Zn2 0.500 0.500 0.000
P1 0.174 0.326 0.000
P2 0.326 0.826 0.000
P3 0.674 0.174 0.000
P4 0.826 0.674 0.000
Pb1 0.155 0.655 0.500
Pb2 0.345 0.155 0.500
Pb3 0.655 0.845 0.500
Pb4 0.845 0.345 0.500

=====

Record 11
This record from Alexandria via LeMat-Bulk describes crystalline V5NiIr4 at its relaxed geometry. The functional is PBE-GGA.

Results
Space-group type: No. 123
N(E_F), states/eV/atom: 1.44
E, eV/atom: -9.088
E_form, meV per atom: -406

Cell lengths 2.738, 2.738, 18.167 Å; angles 90.00, 90.00, 90.00 degrees
Fractional positions:
V1 0.000 0.000 0.000
V2 0.000 0.000 0.204
V3 0.000 0.000 0.405
V4 0.000 0.000 0.595
V5 0.000 0.000 0.796
Ni1 0.500 0.500 0.500
Ir1 0.500 0.500 0.101
Ir2 0.500 0.500 0.305
Ir3 0.500 0.500 0.695
Ir4 0.500 0.500 0.899

=====

Record 12
This record from Alexandria via LeMat-Bulk describes crystalline AlOsPt2 at its relaxed geometry. The functional is PBE-GGA.

Results
Space-group type: No. 160
N(E_F), states/eV/atom: 1.35
E, eV/atom: -7.033
E_form, meV per atom: -269

Cell lengths 8.916, 8.916, 8.916 Å; angles 18.07, 18.07, 18.07 degrees
Fractional positions:
Al1 0.000 0.000 0.000
Os1 0.745 0.745 0.745
Pt1 0.257 0.257 0.257
Pt2 0.498 0.498 0.498

=====

| no. | volume (Å³/f.u.) |
| --- | --- |
| 1 | 328 |
| 2 | 165 |
| 3 | 157 |
| 4 | 458 |
| 5 | 76 |
| 6 | 111 |
| 7 | 168 |
| 8 | 516 |
| 9 | 306 |
| 10 | 117 |
| 11 | 136 |
| 12 | 60 |